This record from the Alexandria database describes an optimized crystal structure of LaZn11Ga. The functional is PBE.

Lattice parameters (Å, degrees): 6.918 6.918 6.886 98.47 98.47 134.96
Fractional coordinates of all 13 atoms:
La (0.000, 0.000, 0.000)
Zn (0.000, 0.500, 0.000)
Zn (0.009, 0.368, 0.355)
Zn (0.282, 0.505, 0.780)
Zn (0.368, 0.009, 0.355)
Zn (0.495, 0.718, 0.220)
Zn (0.500, 0.000, 0.000)
Zn (0.500, 0.500, 0.500)
Zn (0.505, 0.282, 0.780)
Zn (0.632, 0.991, 0.645)
Zn (0.718, 0.495, 0.220)
Zn (0.991, 0.632, 0.645)
Ga (0.000, 0.000, 0.500)

Properties
**E_form**: -0.183 eV per atom
**Fermi-level density of states**: 0.199 states/eV per atom
**Uncorrected energy**: -1.873 eV/atom


This record from the Alexandria database describes an optimized crystal structure of Ca2MgCu2Pd5. The functional is PBE.

Lattice parameters (Å, degrees): 9.567 9.567 3.861 90.00 90.00 90.00
Fractional coordinates of all 20 atoms:
Ca (0.174, 0.326, 0.000)
Ca (0.326, 0.826, 0.000)
Ca (0.674, 0.174, 0.000)
Ca (0.826, 0.674, 0.000)
Mg (0.000, 0.000, 0.000)
Mg (0.500, 0.500, 0.000)
Cu (0.123, 0.623, 0.000)
Cu (0.377, 0.123, 0.000)
Cu (0.623, 0.877, 0.000)
Cu (0.877, 0.377, 0.000)
Pd (0.000, 0.500, 0.500)
Pd (0.066, 0.796, 0.500)
Pd (0.204, 0.066, 0.500)
Pd (0.296, 0.566, 0.500)
Pd (0.434, 0.296, 0.500)
Pd (0.500, 0.000, 0.500)
Pd (0.566, 0.704, 0.500)
Pd (0.704, 0.434, 0.500)
Pd (0.796, 0.934, 0.500)
Pd (0.934, 0.204, 0.500)

Properties
**E_form**: -0.533 eV per atom
**Fermi-level density of states**: 0.191 states/eV per atom
**Uncorrected energy**: -4.509 eV/atom


This record from the Alexandria database describes an optimized crystal structure of SrAcSiRh. The functional is PBE.

Lattice parameters (Å, degrees): 4.280 4.280 8.491 104.65 104.65 60.00
Fractional coordinates of all 4 atoms:
Sr (0.000, 0.000, 0.000)
Ac (0.169, 0.169, 0.504)
Si (0.417, 0.417, 0.251)
Rh (0.758, 0.758, 0.274)

Properties
**Fermi-level density of states**: 0.963 states/eV per atom
**Energy relative to the elements, uncorrected**: -0.612 eV per atom
**Uncorrected energy**: -5.253 eV/atom